Entry 1:
VASP calculation (PBE-GGA) on a relaxed structure of Tb8InHg2.

Output
- SG: Immm
- Distance to the lowest polymorph of the same formula: 0 meV per atom
- Electronic total energy: -3.8615 eV/atom
- Energy relative to the elements: -0.19 eV/atom

a = 5.061 Å, b = 8.438 Å, c = 8.943 Å
α = 118.15°, β = 106.44°, γ = 90.00°
Sites, in units of the cell vectors:
Tb (0.662, 0.882, 0.323)
Tb (0.137, 0.137, 0.274)
Tb (0.662, 0.441, 0.323)
Tb (0.863, 0.863, 0.726)
Tb (0.338, 0.118, 0.677)
Tb (0.000, 0.310, 0.000)
Tb (0.000, 0.690, 0.000)
Tb (0.338, 0.559, 0.677)
Hg (0.803, 0.303, 0.605)
Hg (0.197, 0.697, 0.395)
In (0.500, 0.000, 0.000)

Entry 2:
VASP calculation (PBE-GGA) on a relaxed structure of Mg2Zn5AgRh2.

Output
- SG: P4/mbm
- Electronic total energy: -2.9975 eV/atom
- Energy relative to the elements: -0.29 eV/atom

a = 4.050 Å, b = 8.999 Å, c = 8.999 Å
α = 90.00°, β = 90.00°, γ = 90.00°
Sites, in units of the cell vectors:
Mg (0.000, 0.829, 0.671)
Mg (0.000, 0.329, 0.829)
Mg (0.000, 0.671, 0.171)
Mg (0.000, 0.171, 0.329)
Rh (0.000, 0.124, 0.624)
Rh (0.000, 0.876, 0.376)
Rh (0.000, 0.624, 0.876)
Rh (0.000, 0.376, 0.124)
Zn (0.500, 0.796, 0.926)
Zn (0.500, 0.926, 0.204)
Zn (0.500, 0.704, 0.426)
Zn (0.500, 0.204, 0.074)
Zn (0.500, 0.000, 0.500)
Zn (0.500, 0.296, 0.574)
Zn (0.500, 0.500, 0.000)
Zn (0.500, 0.574, 0.704)
Zn (0.500, 0.074, 0.796)
Zn (0.500, 0.426, 0.296)
Ag (0.000, 0.000, 0.000)
Ag (0.000, 0.500, 0.500)

Entry 3:
VASP calculation (PBE-GGA) on a relaxed structure of LaHoCo4.

Output
- SG: F-43m
- Distance to the lowest polymorph of the same formula: 53 meV per atom
- Electronic total energy: -6.4282 eV/atom
- Energy relative to the elements: -0.11 eV/atom

a = 5.127 Å, b = 5.127 Å, c = 5.127 Å
α = 60.00°, β = 60.00°, γ = 60.00°
Site moments in Bohr magnetons follow the coordinates.
Sites, in units of the cell vectors:
Co (0.626, 0.626, 0.626)  1.08
Co (0.626, 0.626, 0.123)  1.08
Co (0.123, 0.626, 0.626)  1.08
Co (0.626, 0.123, 0.626)  1.08
Ho (0.000, 0.000, 0.000)  -0.32
La (0.250, 0.250, 0.250)  -0.20

Entry 4:
VASP calculation (PBE-GGA) on a relaxed structure of CsInSe2O8.

Output
- SG: P-3
- Electronic total energy: -5.2706 eV/atom
- Energy relative to the elements, uncorrected: -1.085 eV per atom

a = 5.247 Å, b = 5.247 Å, c = 9.352 Å
α = 90.00°, β = 90.00°, γ = 120.00°
Sites, in units of the cell vectors:
O (0.955, 0.651, 0.358)
O (0.045, 0.349, 0.642)
O (0.667, 0.333, 0.124)
O (0.651, 0.696, 0.642)
O (0.696, 0.045, 0.358)
O (0.304, 0.955, 0.642)
O (0.333, 0.667, 0.876)
O (0.349, 0.304, 0.358)
Se (0.333, 0.667, 0.700)
Se (0.667, 0.333, 0.300)
In (0.000, 0.000, 0.500)
Cs (0.000, 0.000, 0.000)

Entry 5:
VASP calculation (PBE-GGA) on a relaxed structure of MnV2SbN.

Output
- SG: P4/mmm
- Electronic total energy: -8.3670 eV/atom
- Energy relative to the elements, uncorrected: -0.396 eV per atom

a = 4.026 Å, b = 4.026 Å, c = 3.984 Å
α = 90.00°, β = 90.00°, γ = 90.00°
Site moments in Bohr magnetons follow the coordinates.
Sites, in units of the cell vectors:
Sb (0.500, 0.500, 0.500)  -0.01
V (0.000, 0.500, 0.000)  -0.44
V (0.500, 0.000, 0.000)  -0.44
Mn (0.000, 0.000, 0.500)  2.40
N (0.000, 0.000, 0.000)  0.00

Entry 6:
VASP calculation (PBE-GGA) on a relaxed structure of ErThTcAg.

Output
- SG: F-43m
- Electronic total energy: -6.4244 eV/atom
- Energy relative to the elements: -0.12 eV/atom

a = 5.054 Å, b = 5.054 Å, c = 5.054 Å
α = 60.00°, β = 60.00°, γ = 60.00°
Sites, in units of the cell vectors:
Th (0.750, 0.750, 0.750)
Ag (0.500, 0.500, 0.500)
Er (0.250, 0.250, 0.250)
Tc (0.000, 0.000, 0.000)

Entry 7:
VASP calculation (PBE-GGA) on a relaxed structure of LiMg2Cd5In.

Output
- SG: P4/mbm
- Electronic total energy: -1.3373 eV/atom
- Energy relative to the elements: 0.04 eV/atom

a = 6.597 Å, b = 8.097 Å, c = 8.097 Å
α = 90.00°, β = 90.00°, γ = 90.00°
Sites, in units of the cell vectors:
Cd (0.228, 0.808, 0.308)
Cd (0.772, 0.808, 0.308)
Cd (0.500, 0.500, 0.500)
Cd (0.500, 0.000, 0.000)
Cd (0.772, 0.192, 0.692)
Cd (0.228, 0.192, 0.692)
Cd (0.228, 0.692, 0.808)
Cd (0.772, 0.308, 0.192)
Cd (0.228, 0.308, 0.192)
Cd (0.772, 0.692, 0.808)
Mg (0.500, 0.879, 0.621)
Mg (0.500, 0.121, 0.379)
Mg (0.500, 0.379, 0.879)
Mg (0.500, 0.621, 0.121)
In (0.000, 0.000, 0.000)
In (0.000, 0.500, 0.500)
Li (0.000, 0.000, 0.500)
Li (0.000, 0.500, 0.000)

Entry 8:
VASP calculation (PBE-GGA) on a relaxed structure of Ac3Tb2Nd7.

Output
- SG: P2/m
- Electronic total energy: -4.3651 eV/atom
- Energy relative to the elements: 0.21 eV/atom

a = 3.803 Å, b = 5.874 Å, c = 21.036 Å
α = 90.00°, β = 95.19°, γ = 90.00°
Sites, in units of the cell vectors:
Nd (0.000, 0.000, 0.000)
Nd (0.072, 0.500, 0.142)
Nd (0.589, 0.000, 0.175)
Nd (0.928, 0.500, 0.858)
Nd (0.718, 0.500, 0.435)
Nd (0.411, 0.000, 0.825)
Nd (0.282, 0.500, 0.565)
Ac (0.500, 0.500, 0.000)
Ac (0.824, 0.000, 0.648)
Ac (0.176, 0.000, 0.352)
Tb (0.360, 0.500, 0.721)
Tb (0.640, 0.500, 0.279)

Entry 9:
VASP calculation (PBE-GGA) on a relaxed structure of MnSiRh2.

Output
- SG: I-4m2
- Electronic total energy: -7.6930 eV/atom
- Energy relative to the elements, uncorrected: -0.369 eV per atom

a = 4.747 Å, b = 4.747 Å, c = 4.747 Å
α = 134.33°, β = 134.33°, γ = 66.57°
Site moments in Bohr magnetons follow the coordinates.
Sites, in units of the cell vectors:
Rh (0.250, 0.750, 0.500)  0.21
Rh (0.000, 0.000, 0.000)  0.09
Mn (0.750, 0.250, 0.500)  3.26
Si (0.500, 0.500, 0.000)  -0.05

Entry 10:
VASP calculation (PBE-GGA) on a relaxed structure of ZnIr2Cl.

Output
- SG: I-4m2
- Distance to the lowest polymorph of the same formula: 575 meV per atom
- Electronic total energy: -4.4919 eV/atom
- Energy relative to the elements, uncorrected: 0.719 eV per atom

a = 4.339 Å, b = 4.339 Å, c = 4.339 Å
α = 111.27°, β = 111.27°, γ = 105.94°
Sites, in units of the cell vectors:
Zn (0.500, 0.500, 0.000)
Ir (0.000, 0.000, 0.000)
Ir (0.250, 0.750, 0.500)
Cl (0.750, 0.250, 0.500)

Entry 11:
VASP calculation (PBE-GGA) on a relaxed structure of CaEu2O3.

Output
- SG: C2/c
- Distance to the lowest polymorph of the same formula: 0 meV per atom
- Electronic total energy: -9.0477 eV/atom
- Energy relative to the elements, uncorrected: -2.810 eV per atom

a = 6.142 Å, b = 6.142 Å, c = 6.127 Å
α = 80.43°, β = 80.43°, γ = 119.98°
Site moments in Bohr magnetons follow the coordinates.
Sites, in units of the cell vectors:
O (0.000, 0.500, 0.500)  -0.07
O (0.500, 0.000, 0.000)  -0.07
O (0.840, 0.680, 0.000)  -0.07
O (0.160, 0.320, 0.000)  -0.07
O (0.320, 0.160, 0.500)  -0.07
O (0.680, 0.840, 0.500)  -0.07
Eu (0.583, 0.417, 0.750)  6.82
Eu (0.750, 0.250, 0.250)  6.81
Eu (0.250, 0.750, 0.750)  6.81
Eu (0.417, 0.583, 0.250)  6.82
Ca (0.918, 0.082, 0.750)  0.05
Ca (0.082, 0.918, 0.250)  0.05

Entry 12:
VASP calculation (PBE-GGA) on a relaxed structure of Y8Ge3Te4Pd.

Output
- SG: R-3m
- Electronic total energy: -6.3647 eV/atom
- Energy relative to the elements, uncorrected: -1.157 eV per atom

a = 8.478 Å, b = 8.629 Å, c = 8.479 Å
α = 119.43°, β = 120.00°, γ = 90.00°
Sites, in units of the cell vectors:
Te (0.500, 0.000, 0.500)
Te (0.000, 0.000, 0.500)
Te (0.000, 0.000, 0.000)
Te (0.500, 0.000, 0.000)
Y (0.740, 0.721, 0.481)
Y (0.260, 0.279, 0.519)
Y (0.264, 0.279, 0.021)
Y (0.242, 0.721, 0.484)
Y (0.758, 0.279, 0.516)
Y (0.242, 0.721, 0.979)
Y (0.736, 0.721, 0.979)
Y (0.758, 0.279, 0.021)
Ge (0.000, 0.500, 0.500)
Ge (0.500, 0.500, 0.000)
Ge (0.500, 0.500, 0.500)
Pd (0.000, 0.500, 0.000)

Entry 13:
VASP calculation (PBE-GGA) on a relaxed structure of Sr2RhAu.

Output
- SG: C2/m
- Electronic total energy: -3.7769 eV/atom
- Energy relative to the elements: -0.28 eV/atom

a = 4.414 Å, b = 4.414 Å, c = 7.875 Å
α = 77.41°, β = 77.41°, γ = 52.71°
Sites, in units of the cell vectors:
Sr (0.504, 0.504, 0.474)
Sr (0.996, 0.996, 0.026)
Rh (0.250, 0.250, 0.250)
Au (0.750, 0.750, 0.750)

Entry 14:
VASP calculation (PBE-GGA) on a relaxed structure of Ba4Li5Au6.

Output
- SG: Cmc2_1
- Electronic total energy: -3.0011 eV/atom
- Energy relative to the elements: -0.54 eV/atom

a = 4.613 Å, b = 10.921 Å, c = 17.048 Å
α = 90.00°, β = 90.00°, γ = 102.19°
Sites, in units of the cell vectors:
Li (0.565, 0.129, 0.132)
Li (0.850, 0.700, 0.130)
Li (0.294, 0.588, 0.630)
Li (0.347, 0.694, 0.255)
Li (0.652, 0.305, 0.506)
Li (0.150, 0.300, 0.630)
Li (0.348, 0.695, 0.006)
Li (0.653, 0.306, 0.755)
Li (0.435, 0.871, 0.632)
Li (0.706, 0.412, 0.130)
Au (0.881, 0.763, 0.630)
Au (0.784, 0.569, 0.002)
Au (0.431, 0.863, 0.870)
Au (0.569, 0.137, 0.370)
Au (0.569, 0.138, 0.630)
Au (0.430, 0.861, 0.390)
Au (0.784, 0.567, 0.259)
Au (0.570, 0.139, 0.890)
Au (0.119, 0.237, 0.130)
Au (0.216, 0.433, 0.759)
Au (0.431, 0.862, 0.130)
Au (0.216, 0.431, 0.502)
Ba (0.983, 0.967, 0.260)
Ba (0.824, 0.648, 0.811)
Ba (0.823, 0.647, 0.449)
Ba (0.177, 0.353, 0.949)
Ba (0.176, 0.352, 0.311)
Ba (0.015, 0.031, 0.502)
Ba (0.985, 0.969, 0.002)
Ba (0.017, 0.033, 0.760)

Entry 15:
VASP calculation (PBE-GGA) on a relaxed structure of ZrCI2O.

Output
- SG: P4/mmm
- Distance to the lowest polymorph of the same formula: 621 meV per atom
- Electronic total energy: -4.2893 eV/atom
- Energy relative to the elements, uncorrected: 0.877 eV per atom

a = 5.354 Å, b = 5.354 Å, c = 3.374 Å
α = 90.00°, β = 90.00°, γ = 90.00°
Sites, in units of the cell vectors:
Zr (0.500, 0.500, 0.500)
C (0.000, 0.000, 0.000)
I (0.500, 0.000, 0.000)
I (0.000, 0.500, 0.000)
O (0.000, 0.000, 0.500)

Entry 16:
VASP calculation (PBE-GGA) on a relaxed structure of GdIn2Cu.

Output
- SG: R-3m
- Distance to the lowest polymorph of the same formula: 446 meV per atom
- Electronic total energy: -5.6989 eV/atom
- Energy relative to the elements: 0.21 eV/atom

a = 3.355 Å, b = 3.355 Å, c = 10.620 Å
α = 80.91°, β = 80.91°, γ = 60.00°
Site moments in Bohr magnetons follow the coordinates.
Sites, in units of the cell vectors:
Gd (0.000, 0.000, 0.000)  -7.33
In (0.102, 0.102, 0.693)  -0.01
In (0.898, 0.898, 0.307)  -0.01
Cu (0.500, 0.500, 0.500)  -0.01

Entry 17:
VASP calculation (PBE-GGA) on a relaxed structure of Sr2LiNpO5.

Output
- SG: Cmc2_1
- Electronic total energy: -7.5254 eV/atom
- Energy relative to the elements, uncorrected: -2.747 eV per atom

a = 3.488 Å, b = 7.192 Å, c = 11.144 Å
α = 90.00°, β = 90.00°, γ = 104.03°
Site moments in Bohr magnetons follow the coordinates.
Sites, in units of the cell vectors:
O (0.063, 0.127, 0.029)  -0.07
O (0.937, 0.873, 0.529)  -0.07
O (0.505, 0.009, 0.279)  0.00
O (0.301, 0.603, 0.403)  -0.06
O (0.495, 0.991, 0.779)  0.00
O (0.721, 0.442, 0.154)  -0.06
O (0.353, 0.705, 0.006)  -0.06
O (0.647, 0.295, 0.506)  -0.06
O (0.279, 0.558, 0.654)  -0.06
O (0.699, 0.397, 0.903)  -0.06
Sr (0.913, 0.827, 0.175)  0.00
Sr (0.126, 0.252, 0.319)  0.00
Sr (0.874, 0.748, 0.819)  0.00
Sr (0.087, 0.173, 0.675)  0.00
Li (0.450, 0.901, 0.435)  0.00
Li (0.550, 0.099, 0.935)  0.00
Np (0.207, 0.414, 0.025)  2.22
Np (0.793, 0.586, 0.525)  2.22

Entry 18:
VASP calculation (PBE-GGA) on a relaxed structure of CdRe2Rh2.

Output
- SG: I4/mmm
- Distance to the lowest polymorph of the same formula: 256 meV per atom
- Electronic total energy: -7.6386 eV/atom
- Energy relative to the elements: 0.46 eV/atom

a = 4.024 Å, b = 4.024 Å, c = 6.172 Å
α = 70.97°, β = 70.97°, γ = 90.00°
Sites, in units of the cell vectors:
Rh (0.250, 0.750, 0.500)
Rh (0.750, 0.250, 0.500)
Re (0.394, 0.394, 0.212)
Re (0.606, 0.606, 0.788)
Cd (0.000, 0.000, 0.000)

Entry 19:
VASP calculation (PBE-GGA) on a relaxed structure of Pr2NdHg2.

Output
- SG: P2_1/m
- Distance to the lowest polymorph of the same formula: 0 meV per atom
- Electronic total energy: -3.3584 eV/atom
- Energy relative to the elements: -0.37 eV/atom

a = 3.874 Å, b = 5.514 Å, c = 14.272 Å
α = 90.00°, β = 97.83°, γ = 90.00°
Site moments in Bohr magnetons follow the coordinates.
Sites, in units of the cell vectors:
Nd (0.146, 0.250, 0.289)  0.07
Nd (0.854, 0.750, 0.711)  0.07
Hg (0.358, 0.250, 0.715)  0.01
Hg (0.551, 0.250, 0.100)  0.02
Hg (0.642, 0.750, 0.285)  0.01
Hg (0.449, 0.750, 0.900)  0.02
Pr (0.766, 0.250, 0.530)  0.01
Pr (0.953, 0.250, 0.907)  0.20
Pr (0.234, 0.750, 0.470)  0.01
Pr (0.047, 0.750, 0.093)  0.20

Entry 20:
VASP calculation (PBE-GGA) on a relaxed structure of YPd2Pb.

Output
- SG: I-42d
- Electronic total energy: -5.3998 eV/atom
- Energy relative to the elements: -0.26 eV/atom

a = 4.447 Å, b = 4.447 Å, c = 9.901 Å
α = 77.02°, β = 77.02°, γ = 90.00°
Sites, in units of the cell vectors:
Pb (0.750, 0.250, 0.500)
Pb (0.000, 0.000, 0.000)
Pd (0.375, 0.360, 0.750)
Pd (0.110, 0.625, 0.250)
Pd (0.875, 0.890, 0.750)
Pd (0.640, 0.125, 0.250)
Y (0.500, 0.500, 0.000)
Y (0.250, 0.750, 0.500)